VASP calculation (PBE) on crystalline SmDyMgCo at its relaxed geometry.

POSCAR file:
```
SmDyMgCo
1.0
5.0751 0.0000 0.0000
2.5375 4.3951 0.0000
2.5375 1.4650 4.1438
Mg Dy Co Sm
1 1 1 1
direct
0.5000 0.5000 0.5000
0.2500 0.2500 0.2500
0.0000 0.0000 0.0000
0.7500 0.7500 0.7500
```

Values from the calculation:
The formation energy comes out at 22 meV per atom. Its total energy is -4.4830 eV per atom. The distance to the lowest polymorph of the same formula is 0.1219 eV per atom.

VASP calculation (PBE) on crystalline TbDyMgCo at its relaxed geometry.

POSCAR file:
```
TbDyMgCo
1.0
5.0312 0.0000 0.0000
2.5156 4.3572 0.0000
2.5156 1.4524 4.1080
Dy Mg Tb Co
1 1 1 1
direct
0.2500 0.2500 0.2500
0.5000 0.5000 0.5000
0.7500 0.7500 0.7500
0.0000 0.0000 0.0000
```

Values from the calculation:
The formation energy comes out at -3 meV per atom. Its total energy is -4.4860 eV per atom. The distance to the lowest polymorph of the same formula is 0.1270 eV per atom.

VASP calculation (PBE) on crystalline TbDyMgCo at its relaxed geometry.

POSCAR file:
```
TbDyMgCo
1.0
-1.6884 -1.5137 -2.5447
2.9045 -1.4158 -1.0849
-1.3632 -6.4123 4.7187
Co Dy Tb Mg
1 1 1 1
direct
0.0000 0.0000 0.5695
0.5000 0.5000 0.3700
0.5000 0.5000 0.7723
0.0000 0.0000 0.0730
```

Values from the calculation:
The formation energy comes out at -130 meV per atom. Its total energy is -4.6130 eV per atom. The distance to the lowest polymorph of the same formula is 0.0000 eV per atom.

VASP calculation (PBE) on crystalline DyMgZnCo at its relaxed geometry.

POSCAR file:
```
DyMgZnCo
1.0
-2.7529 0.9885 -3.6688
-4.6667 -0.1848 0.4514
-2.5197 3.9579 -0.0434
Zn Dy Mg Co
1 1 1 1
direct
0.0000 0.0000 0.0000
0.7500 0.7500 0.7500
0.2500 0.2500 0.2500
0.5000 0.5000 0.5000
```

Values from the calculation:
The formation energy comes out at -82 meV per atom. Its total energy is -3.7258 eV per atom.

VASP calculation (PBE) on crystalline DyMn10Co2 at its relaxed geometry.

POSCAR file:
```
DyMn10Co2
1.0
-0.7942 -5.2696 -3.4569
3.5088 -2.5617 4.6342
-6.8775 -1.7463 4.2421
Mn Dy Co
20 2 4
direct
0.1678 0.8322 0.9009
0.3881 0.6119 0.0807
0.6179 0.8733 0.2500
0.3881 0.6119 0.4193
0.1678 0.8322 0.5991
0.2373 0.2373 0.5000
0.7627 0.7627 0.0000
0.8733 0.6179 0.7500
0.4832 0.2506 0.2500
0.6119 0.3881 0.9193
0.1267 0.3821 0.2500
0.7627 0.7627 0.5000
0.8322 0.1678 0.0991
0.8322 0.1678 0.4009
0.7494 0.5168 0.2500
0.5168 0.7494 0.7500
0.3821 0.1267 0.7500
0.2506 0.4832 0.7500
0.6119 0.3881 0.5807
0.2373 0.2373 0.0000
0.8845 0.1155 0.7500
0.1155 0.8845 0.2500
0.5000 0.0000 0.0000
0.0000 0.5000 0.0000
0.0000 0.5000 0.5000
0.5000 0.0000 0.5000
```

Values from the calculation:
The formation energy comes out at 20 meV per atom. Its total energy is -8.4811 eV per atom.

VASP calculation (PBE) on crystalline Dy2MnCo at its relaxed geometry.

POSCAR file:
```
Dy2MnCo
1.0
3.3889 0.0000 0.0000
0.0000 3.3889 0.0000
0.0000 0.0000 7.0112
Dy Mn Co
2 1 1
direct
0.0000 0.0000 0.7661
0.0000 0.0000 0.2339
0.5000 0.5000 0.5000
0.5000 0.5000 0.0000
```

Values from the calculation:
The formation energy comes out at 38 meV per atom. Its total energy is -6.3321 eV per atom.

VASP calculation (PBE) on crystalline DyMn17Co at its relaxed geometry.

POSCAR file:
```
DyMn17Co
1.0
-5.5643 2.1363 -1.7503
-3.6153 -3.0354 4.0378
-0.8070 4.4555 4.2527
Mn Dy Co
17 1 1
direct
0.4906 0.9880 0.9880
0.3408 0.8489 0.3408
0.8489 0.3408 0.3408
0.3408 0.3408 0.8489
0.2972 0.0177 0.6756
0.6559 0.6559 0.1617
0.6756 0.0177 0.2972
0.9880 0.9880 0.4906
0.6559 0.1617 0.6559
0.0177 0.6756 0.2972
0.9880 0.4906 0.9880
0.1617 0.6559 0.6559
0.2972 0.6756 0.0177
0.0177 0.2972 0.6756
0.0850 0.0850 0.0850
0.9080 0.9080 0.9080
0.6756 0.2972 0.0177
0.6579 0.6579 0.6579
0.3976 0.3976 0.3976
```

Values from the calculation:
The formation energy comes out at 169 meV per atom. Its total energy is -8.6512 eV per atom.

VASP calculation (PBE) on crystalline Dy3Mn2Co7 at its relaxed geometry.

POSCAR file:
```
Dy3Mn2Co7
1.0
4.8631 0.0000 1.5221
2.1933 4.3404 1.5221
0.0534 0.0328 8.3592
Dy Mn Co
3 2 7
direct
0.8595 0.8595 0.4215
0.1405 0.1405 0.5785
0.0000 0.0000 0.0000
0.3337 0.3337 0.9990
0.6663 0.6663 0.0010
0.4177 0.9191 0.2455
0.0809 0.5823 0.7545
0.5823 0.5823 0.7545
0.5823 0.0809 0.7545
0.5000 0.5000 0.5000
0.4177 0.4177 0.2455
0.9191 0.4177 0.2455
```

Values from the calculation:
The formation energy comes out at -156 meV per atom. Its total energy is -6.9795 eV per atom.